A relaxed Pm2MgF crystal, computed with PBE-GGA.

Values from the calculation:
- M_tot (μB/cell) = 0.00
- calculated volume (A^3/atom) = 25.336
- formation energy (no corrections) (kJ per mole of atoms) = -84.3
- E_tot (eV/atom) = -4.116

abc: 3.354 3.354 10.581
angles: 80.88 80.88 60.00
Atoms (fractional coordinates):
F1 0.500 0.500 0.500
Mg1 0.000 0.000 0.000
Pm1 0.106 0.106 0.682
Pm2 0.894 0.894 0.318